# AlNiSe (PBE, optimized geometry)
# Total magnetization in μB/f.u.: 0.000
# Density in Mg/m³: 5.68
# Electronic total energy in eV/atom: -4.508
# Uncorrected formation energy in meV/atom: -172
data_AlNiSe
_chemical_formula_sum 'Al1 Ni1 Se1'
_symmetry_space_group_name_H-M 'P 3 m 1'
_symmetry_Int_Tables_number 156
_symmetry_space_group_name_Hall 'P 3 -2"'
_cell_length_a 3.2955
_cell_length_b 3.2955
_cell_length_c 5.1202
_cell_angle_alpha 90.00
_cell_angle_beta 90.00
_cell_angle_gamma 120.00
loop_
_atom_site_label
_atom_site_fract_x
_atom_site_fract_y
_atom_site_fract_z
Al1 0.0000 0.0000 0.0000
Ni1 0.3333 0.6667 0.3087
Se1 0.6667 0.3333 0.6009